A geometry-optimized Te2AsP structure. Source: Alexandria via LeMat-Bulk, functional GGA-PBE.

For the total magnetization, the calculation gives 0.0 μB per formula unit. The calculation puts the formation energy from raw total energies at 198.0 meV per atom. The value obtained for the polymorph energy (0 for the lowest one) is 62 meV per atom. As for the uncorrected energy: -3.89 eV per atom.

abc: 7.1244 4.0312 7.1962
angles: 90.00 107.59 90.00
With the nearest neighbours (Å) after each atom.
Space group C2/m (No. 12)
Asymmetric unit:
1 Te 0.2471 0.0000 0.2404 (multiplicity 4)  3 P 2.85-2.88, 3 As 2.93-2.96
2 As 0.0000 0.0000 0.5000 (multiplicity 2)  6 Te 2.93-2.96
3 P 0.0000 0.5000 0.0000 (multiplicity 2)  6 Te 2.85-2.88